The following is a DFT calculation (PBE-GGA) of crystalline NdHoP2Ir2O2 at its relaxed geometry.

VASP energy   -7.92 eV/atom

Unit cell a=3.971 b=3.971 c=8.143 alpha=90.00 beta=90.00 gamma=90.00
Space group P4mm (No. 99)
Symmetry-distinct sites (fractional):
Nd 0.000 0.000 0.000
Ho 0.500 0.500 0.279
P 0.000 0.000 0.478
P 0.500 0.500 0.799
Ir 0.000 0.500 0.638
O 0.000 0.500 0.152

The following is a DFT calculation (PBE-GGA) of crystalline Nd2HoIrPd2Pb3 at its relaxed geometry.

VASP energy   -5.60 eV/atom

Unit cell a=3.982 b=13.588 c=7.865 alpha=90.00 beta=90.00 gamma=90.00
Space group Amm2 (No. 38)
Symmetry-distinct sites (fractional):
Nd 0.000 0.200 0.000
Ho 0.000 0.000 0.403
Ir 0.000 0.000 0.794
Pd 0.500 0.162 0.302
Pb 0.500 0.000 0.061
Pb 0.500 0.130 0.668

The following is a DFT calculation (PBE-GGA) of crystalline NdHo2Zn3Ir2Pt at its relaxed geometry.

Calculated formation energy   -0.765 eV/atom
VASP energy   -5.37 eV/atom

Unit cell a=3.926 b=12.534 c=7.188 alpha=90.00 beta=90.00 gamma=90.00
Space group Amm2 (No. 38)
Symmetry-distinct sites (fractional):
Nd 0.000 0.000 0.000
Ho 0.000 0.204 0.616
Zn 0.500 0.000 0.662
Zn 0.500 0.127 0.289
Ir 0.500 0.172 0.910
Pt 0.000 0.000 0.419